Entry from Alexandria via LeMat-Bulk: a relaxed SrCr2Sb crystal (PBE).

## Properties
The calculation puts the theoretical density at 4.86 g cm⁻³. The raw formation energy is 0.3530 eV per atom. The calculated total energy is -0.2172 hartree per atom.

Lattice parameters (Å, degrees): 6.314 6.314 6.314 43.24 43.24 43.24
Last column: magnetic moment on the atom in μB.
Fractional coordinates of all 4 atoms:
Sb (0.250, 0.250, 0.250)  -0.09
Cr (0.548, 0.548, 0.548)  3.56
Cr (0.952, 0.952, 0.952)  3.56
Sr (0.750, 0.750, 0.750)  0.06

Entry from Alexandria via LeMat-Bulk: a relaxed TeAs2 crystal (PBE).

## Properties
The calculation puts the theoretical density at 6.31 g cm⁻³. The raw formation energy is 0.3735 eV per atom. The calculated total energy is -0.1387 hartree per atom.

Lattice parameters (Å, degrees): 9.437 9.437 9.437 155.36 155.36 35.13
Fractional coordinates of all 6 atoms:
As (0.573, 0.573, 0.000)
As (0.323, 0.823, 0.500)
As (0.427, 0.427, 0.000)
As (0.177, 0.677, 0.500)
Te (0.000, 0.000, 0.000)
Te (0.750, 0.250, 0.500)

Entry from Alexandria via LeMat-Bulk: a relaxed RhAu crystal (PBE).

## Properties
The calculation puts the theoretical density at 9.76 g cm⁻³. The calculated total energy is -0.1463 hartree per atom. The formation energy is 1.33 eV per atom.

Lattice parameters (Å, degrees): 4.164 4.164 4.164 60.00 60.00 60.00
Last column: magnetic moment on the atom in μB.
Fractional coordinates of all 2 atoms:
Rh (0.750, 0.750, 0.750)  1.13
Au (0.000, 0.000, 0.000)  0.27

Entry from Alexandria via LeMat-Bulk: a relaxed Sc3TlH crystal (PBE).

## Properties
The calculation puts the theoretical density at 5.88 g cm⁻³. The calculation puts the energy above the most stable polymorph in this dataset at 0.040 eV per formula unit. The calculated total energy is -0.1951 hartree per atom.

Lattice parameters (Å, degrees): 6.216 4.946 6.437 90.00 76.35 90.00
Fractional coordinates of all 10 atoms:
Sc (0.615, 0.327, 0.356)
Sc (0.875, 0.827, 0.544)
Sc (0.892, 0.827, 0.036)
Sc (0.372, 0.827, 0.195)
Sc (0.588, 0.327, 0.880)
Sc (0.121, 0.327, 0.716)
H (0.861, 0.573, 0.793)
H (0.861, 0.080, 0.793)
Tl (0.384, 0.827, 0.681)
Tl (0.107, 0.327, 0.232)

Entry from Alexandria via LeMat-Bulk: a relaxed ZrCuCl crystal (PBE).

## Properties
The calculation puts the theoretical density at 5.16 g cm⁻³. The raw formation energy is 0.0562 eV per atom. The calculation puts the energy above the most stable polymorph in this dataset at 1.658 eV per formula unit. The calculated total energy is -0.1754 hartree per atom.

Lattice parameters (Å, degrees): 4.423 4.423 4.423 60.00 60.00 60.00
Fractional coordinates of all 3 atoms:
Zr (0.250, 0.250, 0.250)
Cl (0.000, 0.000, 0.000)
Cu (0.500, 0.500, 0.500)

Entry from Alexandria via LeMat-Bulk: a relaxed TaSb2Cl crystal (PBE).

## Properties
The calculation puts the theoretical density at 8.38 g cm⁻³. The raw formation energy is 0.0782 eV per atom. The calculation puts the energy above the most stable polymorph in this dataset at 0.993 eV per formula unit. The calculated total energy is -0.1987 hartree per atom.

Lattice parameters (Å, degrees): 3.221 3.221 8.789 90.00 90.00 90.00
Fractional coordinates of all 4 atoms:
Cl (0.500, 0.500, 0.750)
Ta (0.500, 0.500, 0.250)
Sb (0.000, 0.000, 0.016)
Sb (0.000, 0.000, 0.484)

Entry from Alexandria via LeMat-Bulk: a relaxed CsLiInBi2 crystal (PBE).

## Properties
The calculation puts the theoretical density at 6.34 g cm⁻³. The calculated total energy is -0.1090 hartree per atom. The formation energy is -0.31 eV per atom.

Lattice parameters (Å, degrees): 5.080 5.080 7.715 109.22 109.22 90.00
Fractional coordinates of all 5 atoms:
Bi (0.625, 0.625, 0.250)
Bi (0.375, 0.375, 0.750)
In (0.250, 0.750, 0.500)
Li (0.750, 0.250, 0.500)
Cs (0.000, 0.000, 0.000)

Entry from Alexandria via LeMat-Bulk: a relaxed Th2TaFeN5 crystal (PBE).

## Properties
The calculation puts the theoretical density at 10.99 g cm⁻³. The raw formation energy is -1.0994 eV per atom. The calculated total energy is -0.3539 hartree per atom.

Lattice parameters (Å, degrees): 3.339 7.065 10.163 90.00 90.00 103.67
Fractional coordinates of all 18 atoms:
N (0.318, 0.636, 0.374)
N (0.702, 0.403, 0.161)
N (0.032, 0.064, 0.021)
N (0.968, 0.936, 0.521)
N (0.298, 0.597, 0.661)
N (0.682, 0.364, 0.874)
N (0.501, 0.003, 0.279)
N (0.341, 0.683, 0.008)
N (0.659, 0.317, 0.508)
N (0.499, 0.997, 0.779)
Fe (0.551, 0.101, 0.949)
Fe (0.449, 0.899, 0.449)
Th (0.118, 0.235, 0.690)
Th (0.134, 0.268, 0.325)
Th (0.866, 0.732, 0.825)
Th (0.882, 0.765, 0.190)
Ta (0.193, 0.387, 0.019)
Ta (0.807, 0.613, 0.519)

Entry from Alexandria via LeMat-Bulk: a relaxed LiZnTcH6 crystal (PBE).

## Properties
The calculation puts the theoretical density at 3.65 g cm⁻³. The calculated total energy is -0.1359 hartree per atom.

Lattice parameters (Å, degrees): 4.564 4.564 8.908 90.00 90.00 120.00
Last column: magnetic moment on the atom in μB.
Fractional coordinates of all 18 atoms:
H (0.486, 0.972, 0.613)  0.00
H (0.972, 0.486, 0.113)  0.00
H (0.514, 0.028, 0.113)  0.00
H (0.514, 0.028, 0.387)  0.00
H (0.028, 0.514, 0.613)  0.00
H (0.514, 0.486, 0.113)  0.00
H (0.028, 0.514, 0.887)  0.00
H (0.486, 0.514, 0.613)  0.00
H (0.514, 0.486, 0.387)  0.00
H (0.972, 0.486, 0.387)  0.00
H (0.486, 0.514, 0.887)  0.00
H (0.486, 0.972, 0.887)  0.00
Zn (0.333, 0.667, 0.250)  0.00
Zn (0.667, 0.333, 0.750)  0.00
Li (0.000, 0.000, 0.500)  0.00
Li (0.000, 0.000, 0.000)  0.00
Tc (0.333, 0.667, 0.750)  0.33
Tc (0.667, 0.333, 0.250)  0.33

Entry from Alexandria via LeMat-Bulk: a relaxed NaAg2Te2 crystal (PBE).

## Properties
The calculation puts the theoretical density at 5.96 g cm⁻³. The raw formation energy is -0.2862 eV per atom. The calculation puts the energy above the most stable polymorph in this dataset at 0.000 eV per formula unit. The calculated total energy is -0.1083 hartree per atom.

Lattice parameters (Å, degrees): 4.294 4.294 8.056 74.54 74.54 90.00
Fractional coordinates of all 5 atoms:
Te (0.622, 0.622, 0.756)
Te (0.378, 0.378, 0.244)
Ag (0.750, 0.250, 0.500)
Ag (0.250, 0.750, 0.500)
Na (0.000, 0.000, 0.000)

Entry from Alexandria via LeMat-Bulk: a relaxed Nd8TcSn2 crystal (PBE).

## Properties
The calculation puts the theoretical density at 7.48 g cm⁻³. The calculated total energy is -0.1991 hartree per atom. The formation energy is -0.28 eV per atom.

Lattice parameters (Å, degrees): 5.698 7.109 9.352 112.35 107.74 90.00
Fractional coordinates of all 11 atoms:
Nd (0.374, 0.137, 0.748)
Nd (0.626, 0.389, 0.253)
Nd (0.000, 0.752, 0.000)
Nd (0.626, 0.863, 0.252)
Nd (0.196, 0.195, 0.391)
Nd (0.374, 0.611, 0.747)
Nd (0.804, 0.805, 0.609)
Nd (0.000, 0.248, 0.000)
Sn (0.814, 0.314, 0.628)
Sn (0.186, 0.686, 0.372)
Tc (0.500, 0.000, 0.000)

Entry from Alexandria via LeMat-Bulk: a relaxed KSrW2 crystal (PBE).

## Properties
The calculation puts the theoretical density at 9.25 g cm⁻³. The calculation puts the energy above the most stable polymorph in this dataset at 2.923 eV per formula unit. The calculated total energy is -0.2062 hartree per atom. The formation energy is 1.56 eV per atom.

Lattice parameters (Å, degrees): 5.632 6.467 2.802 84.27 74.43 112.16
Fractional coordinates of all 4 atoms:
W (0.500, 0.000, 0.500)
W (0.000, 0.000, 0.000)
K (0.000, 0.500, 0.500)
Sr (0.500, 0.500, 0.000)

Entry from Alexandria via LeMat-Bulk: a relaxed SnPb8Au2 crystal (PBE).

## Properties
The calculation puts the theoretical density at 10.99 g cm⁻³. The calculation puts the energy above the most stable polymorph in this dataset at 0.000 eV per formula unit. The calculated total energy is -0.1344 hartree per atom. The formation energy is 0.00 eV per atom.

Lattice parameters (Å, degrees): 5.755 7.919 7.919 110.31 98.11 98.11
Fractional coordinates of all 11 atoms:
Sn (0.500, 0.000, 0.000)
Pb (0.500, 0.248, 0.752)
Pb (0.500, 0.752, 0.248)
Pb (0.680, 0.368, 0.368)
Pb (0.114, 0.071, 0.329)
Pb (0.114, 0.329, 0.071)
Pb (0.886, 0.929, 0.671)
Pb (0.320, 0.632, 0.632)
Pb (0.886, 0.671, 0.929)
Au (0.000, 0.324, 0.676)
Au (0.000, 0.676, 0.324)

Entry from Alexandria via LeMat-Bulk: a relaxed ZrBe11 crystal (PBE).

## Properties
The calculation puts the theoretical density at 2.90 g cm⁻³. The calculated total energy is -0.1594 hartree per atom. The formation energy is -0.21 eV per atom.

Lattice parameters (Å, degrees): 5.635 6.830 6.830 80.20 65.64 65.64
Fractional coordinates of all 24 atoms:
Be (0.875, 0.250, 0.250)
Be (0.687, 0.580, 0.168)
Be (0.315, 0.080, 0.668)
Be (0.732, 0.832, 0.580)
Be (0.605, 0.080, 0.332)
Be (0.315, 0.668, 0.080)
Be (0.018, 0.920, 0.668)
Be (0.435, 0.420, 0.832)
Be (0.687, 0.168, 0.580)
Be (0.063, 0.332, 0.920)
Be (0.750, 0.500, 0.500)
Be (0.018, 0.668, 0.920)
Be (0.145, 0.420, 0.168)
Be (0.875, 0.250, 0.750)
Be (0.375, 0.750, 0.750)
Be (0.145, 0.168, 0.420)
Be (0.435, 0.832, 0.420)
Be (0.605, 0.332, 0.080)
Be (0.732, 0.580, 0.832)
Be (0.000, 0.000, 0.000)
Be (0.063, 0.920, 0.332)
Be (0.875, 0.750, 0.250)
Zr (0.500, 0.000, 0.000)
Zr (0.250, 0.500, 0.500)

Entry from Alexandria via LeMat-Bulk: a relaxed LiOs2Se crystal (PBE).

## Properties
The calculation puts the theoretical density at 12.68 g cm⁻³. The raw formation energy is 0.4993 eV per atom. The calculated total energy is -0.2376 hartree per atom.

Lattice parameters (Å, degrees): 2.776 2.776 8.967 90.00 90.00 117.84
Fractional coordinates of all 4 atoms:
Se (0.000, 0.000, 0.503)
Os (0.000, 0.000, 0.002)
Os (0.500, 0.500, 0.243)
Li (0.500, 0.500, 0.752)

Entry from Alexandria via LeMat-Bulk: a relaxed YTcP3 crystal (PBE).

## Properties
The calculation puts the theoretical density at 4.62 g cm⁻³. The calculation puts the energy above the most stable polymorph in this dataset at 0.000 eV per formula unit. The calculated total energy is -0.2448 hartree per atom. The formation energy is -0.05 eV per atom.

Lattice parameters (Å, degrees): 4.652 4.652 4.652 90.00 90.00 90.00
Fractional coordinates of all 5 atoms:
P (0.500, 0.000, 0.000)
P (0.000, 0.500, 0.000)
P (0.000, 0.000, 0.500)
Y (0.500, 0.500, 0.500)
Tc (0.000, 0.000, 0.000)

Entry from Alexandria via LeMat-Bulk: a relaxed Ti3Pd4Au2 crystal (PBE).

## Properties
The calculation puts the theoretical density at 11.12 g cm⁻³. The calculated total energy is -0.2285 hartree per atom. The formation energy is -0.55 eV per atom.

Lattice parameters (Å, degrees): 4.866 8.215 7.705 72.01 79.58 83.53
Fractional coordinates of all 18 atoms:
Au (0.161, 0.730, 0.479)
Au (0.272, 0.507, 0.253)
Au (0.728, 0.493, 0.747)
Au (0.839, 0.270, 0.521)
Pd (0.942, 0.170, 0.926)
Pd (0.495, 0.060, 0.813)
Pd (0.505, 0.940, 0.187)
Pd (0.058, 0.830, 0.074)
Pd (0.177, 0.604, 0.859)
Pd (0.823, 0.396, 0.141)
Pd (0.608, 0.841, 0.588)
Pd (0.392, 0.159, 0.412)
Ti (0.395, 0.278, 0.041)
Ti (0.280, 0.371, 0.639)
Ti (0.931, 0.050, 0.293)
Ti (0.605, 0.722, 0.959)
Ti (0.720, 0.629, 0.361)
Ti (0.069, 0.950, 0.707)

Entry from Alexandria via LeMat-Bulk: a relaxed La2CuGeAu6 crystal (PBE).

## Properties
The calculation puts the theoretical density at 11.97 g cm⁻³. The calculated total energy is -0.1568 hartree per atom. The formation energy is -0.44 eV per atom.

Lattice parameters (Å, degrees): 7.920 7.091 6.021 45.93 76.34 94.46
Fractional coordinates of all 10 atoms:
Au (0.342, 0.304, 0.610)
Au (0.909, 0.725, 0.873)
Au (0.091, 0.275, 0.127)
Au (0.786, 0.301, 0.920)
Au (0.214, 0.699, 0.080)
Au (0.658, 0.696, 0.390)
La (0.691, 0.126, 0.597)
La (0.309, 0.874, 0.403)
Ge (0.500, 0.500, 0.000)
Cu (0.000, 0.000, 0.000)

Entry from Alexandria via LeMat-Bulk: a relaxed Pr3Y2Ho8 crystal (PBE).

## Properties
The calculation puts the theoretical density at 7.59 g cm⁻³. The calculation puts the energy above the most stable polymorph in this dataset at 0.000 eV per formula unit. The calculated total energy is -0.1798 hartree per atom. The formation energy is 0.02 eV per atom.

Lattice parameters (Å, degrees): 6.193 7.997 9.463 64.95 83.73 82.50
Fractional coordinates of all 13 atoms:
Ho (0.077, 0.844, 0.690)
Ho (0.923, 0.156, 0.310)
Ho (0.308, 0.389, 0.767)
Ho (0.770, 0.462, 0.923)
Ho (0.230, 0.538, 0.077)
Ho (0.847, 0.310, 0.614)
Ho (0.153, 0.690, 0.386)
Ho (0.692, 0.611, 0.233)
Y (0.383, 0.233, 0.461)
Y (0.617, 0.767, 0.539)
Pr (0.000, 0.000, 0.000)
Pr (0.461, 0.079, 0.155)
Pr (0.539, 0.921, 0.845)